1.
! PmThZn2Ge2, optimized geometry, DFT PBE-GGA; values from VASP
&SYSTEM
  ibrav = 0, nat = 6, ntyp = 4
/
ATOMIC_SPECIES
Pm 145.00 Pm.upf
Th 232.04 Th.upf
Zn 65.41 Zn.upf
Ge 72.64 Ge.upf
ATOMIC_POSITIONS crystal
Pm 0.000 0.000 0.000
Th 0.000 0.000 0.500
Zn 0.333 0.667 0.251
Zn 0.667 0.333 0.749
Ge 0.333 0.667 0.753
Ge 0.667 0.333 0.247
CELL_PARAMETERS angstrom
4.227 0.000 0.000
-2.113 3.660 0.000
0.000 0.000 8.425
! **Space-group type**: P-3m1, No. 164
! **Formation energy**: -0.642 eV/atom
! **VASP energy**: -4.63 eV/atom
! **N(E_F)**: 4.16 states/eV/cell

---

2.
! Pm3TiGe6, optimized geometry, DFT PBE-GGA; values from VASP
&SYSTEM
  ibrav = 0, nat = 20, ntyp = 3
/
ATOMIC_SPECIES
Pm 145.00 Pm.upf
Ti 47.87 Ti.upf
Ge 72.64 Ge.upf
ATOMIC_POSITIONS crystal
Pm 0.180 0.750 0.320
Pm 0.250 0.680 0.820
Pm 0.320 0.180 0.750
Pm 0.680 0.820 0.250
Pm 0.750 0.320 0.180
Pm 0.820 0.250 0.680
Ti 0.000 0.000 0.000
Ti 0.500 0.500 0.500
Ge 0.014 0.090 0.360
Ge 0.090 0.360 0.014
Ge 0.140 0.410 0.486
Ge 0.360 0.014 0.090
Ge 0.410 0.486 0.140
Ge 0.486 0.140 0.410
Ge 0.514 0.860 0.590
Ge 0.590 0.514 0.860
Ge 0.640 0.986 0.910
Ge 0.860 0.590 0.514
Ge 0.910 0.640 0.986
Ge 0.986 0.910 0.640
CELL_PARAMETERS angstrom
5.716 3.300 3.801
-5.716 3.300 3.801
0.000 -6.600 3.801
! **Space-group type**: R-3c, No. 167
! **Formation energy**: -0.643 eV/atom
! **VASP energy**: -5.63 eV/atom
! **N(E_F)**: 12.03 states/eV/cell

---

3.
! Pm3Ti2Ge4, optimized geometry, DFT PBE-GGA; values from VASP
&SYSTEM
  ibrav = 0, nat = 9, ntyp = 3
/
ATOMIC_SPECIES
Pm 145.00 Pm.upf
Ti 47.87 Ti.upf
Ge 72.64 Ge.upf
ATOMIC_POSITIONS crystal
Pm 0.000 0.000 0.000
Pm 0.384 0.384 0.300
Pm 0.616 0.616 0.700
Ti 0.306 0.306 0.630
Ti 0.694 0.694 0.370
Ge 0.081 0.081 0.410
Ge 0.290 0.290 0.928
Ge 0.710 0.710 0.072
Ge 0.919 0.919 0.590
CELL_PARAMETERS angstrom
6.083 -2.057 0.000
6.083 2.057 0.000
-3.125 0.000 8.097
! **Space-group type**: C2/m, No. 12
! **Formation energy**: -0.689 eV/atom
! **VASP energy**: -6.08 eV/atom
! **N(E_F)**: 6.44 states/eV/cell

---

4.
! PmTiGe, optimized geometry, DFT PBE-GGA; values from VASP
&SYSTEM
  ibrav = 0, nat = 6, ntyp = 3
/
ATOMIC_SPECIES
Pm 145.00 Pm.upf
Ti 47.87 Ti.upf
Ge 72.64 Ge.upf
ATOMIC_POSITIONS crystal
Pm 0.333 0.667 0.331
Pm 0.667 0.333 0.669
Ti 0.333 0.667 0.949
Ti 0.667 0.333 0.051
Ge 0.000 0.000 0.152
Ge 0.000 0.000 0.848
CELL_PARAMETERS angstrom
4.377 0.000 0.000
-2.188 3.790 0.000
0.000 0.000 8.888
! **Space-group type**: P-3m1, No. 164
! **Formation energy**: -0.328 eV/atom
! **VASP energy**: -6.08 eV/atom
! **N(E_F)**: 6.02 states/eV/cell